A relaxed RbGaTe2 crystal. Source: Alexandria, functional PBE-GGA.

```
RbGaTe2
1.0
-1.466 3.010 -7.296
-0.151 -9.839 0.217
-4.038 1.053 1.246
Te Rb Ga
4 2 2
direct
0.534 0.514 0.224
0.471 0.894 0.915
0.030 0.526 0.230
0.093 0.146 0.540
0.909 0.792 0.863
0.655 0.248 0.592
0.185 0.328 0.131
0.379 0.712 0.324
```

Results
Uncorrected formation energy (eV/atom): -0.660
Space-group type: C2/m (12)